The following is a DFT calculation (GGA-PBE) of a geometry-optimized CeNd2Tl structure.

M_tot: 0.36 μB per formula unit
Formation enthalpy at 0 K: -7 meV/atom
Excess energy over the best structure of this formula in the dataset: 0.593 eV/f.u.
Space-group type: Fm-3m
Energy: -4.4659 eV/atom

Unit cell a=5.5432 b=5.5432 c=5.5432 alpha=60.00 beta=60.00 gamma=60.00
Last column: nearest neighbours and their distance in Å.
Fractional coordinates of all 4 atoms:
Ce: 0.0000 0.0000 0.0000  8 Nd 3.39
Nd: 0.2500 0.2500 0.2500  4 Tl 3.39, 4 Ce 3.39
Nd: 0.7500 0.7500 0.7500  4 Tl 3.39, 4 Ce 3.39
Tl: 0.5000 0.5000 0.5000  8 Nd 3.39